No. 1
{"formula": "CaCuSi2", "functional": "PBE", "state": "optimized geometry", "raw_formation_energy_mev_per_atom": -47, "crystal_system": "orthorhombic", "lattice_angstrom": [[4.4425, 0.0000, 0.0000], [0.0000, 3.1671, 0.0006], [0.0000, -0.0008, 5.0881]], "species": ["Ca", "Cu", "Si", "Si"], "frac_coords": [[0.0000, 0.5000, 0.4998], [0.5000, 0.0000, 0.7572], [0.0000, 0.0000, 0.9986], [0.5000, 0.0000, 0.2445]]}

No. 2
{"formula": "CePu3In2", "functional": "PBE", "state": "optimized geometry", "e_form_kj_per_mol_atoms": -5.2, "crystal_system": "monoclinic", "lattice_angstrom": [[5.4292, 2.5105, -5.0962], [-0.5984, 7.8247, -0.4070], [-2.3584, -1.6230, 9.4587]], "species": ["Ce", "Ce", "Pu", "Pu", "Pu", "Pu", "Pu", "Pu", "In", "In", "In", "In"], "frac_coords": [[0.9681, 0.7182, 0.2500], [0.0319, 0.2818, 0.7500], [0.5838, 0.6037, 0.3194], [0.4162, 0.3963, 0.6806], [0.7843, 0.2644, 0.1806], [0.8148, 0.0648, 0.7500], [0.2157, 0.7356, 0.8194], [0.1852, 0.9352, 0.2500], [0.6144, 0.0049, 0.2858], [0.3856, 0.9951, 0.7142], [0.7809, 0.6714, 0.7858], [0.2191, 0.3286, 0.2142]]}

No. 3
{"formula": "UPd6Au3", "functional": "PBE", "state": "optimized geometry", "e_form_kj_per_mol_atoms": -8.4, "crystal_system": "monoclinic", "lattice_angstrom": [[2.8392, 0.0000, -0.3694], [0.0000, 5.6705, 0.0000], [0.0878, 0.0000, 21.8679]], "species": ["U", "U", "Pd", "Pd", "Pd", "Pd", "Pd", "Pd", "Pd", "Pd", "Pd", "Pd", "Pd", "Pd", "Au", "Au", "Au", "Au", "Au", "Au"], "frac_coords": [[0.5000, 0.5000, 0.5000], [0.0000, 0.0000, 0.0000], [0.1295, 0.7511, 0.8984], [0.3707, 0.7490, 0.6015], [0.4447, 0.4999, 0.1936], [0.5553, 0.5001, 0.8064], [0.6293, 0.2510, 0.3985], [0.8705, 0.2489, 0.1016], [0.6295, 0.7489, 0.3984], [0.8707, 0.7510, 0.1015], [0.9447, 0.0001, 0.6936], [0.0553, 0.9999, 0.3064], [0.1293, 0.2490, 0.8985], [0.3705, 0.2511, 0.6016], [0.5470, 0.0001, 0.8031], [0.5000, 0.5000, 0.0000], [0.4530, 0.9999, 0.1969], [0.0470, 0.4999, 0.3031], [0.0000, 0.0000, 0.5000], [0.9530, 0.5001, 0.6969]]}

What did we get for final energy? Answer: -17.1; -109.5; -106.3 eV per cell, in the order shown.